Compound: LuNbCd2
Source: the Open Quantum Materials Database
Functional: PBE
Structure: relaxed

```
LuNbCd2
1.0
0.000 4.022 4.022
4.022 0.000 4.022
4.022 4.022 0.000
Cd Lu Nb
2 1 1
Direct
0.000 0.000 0.000 Cd
0.750 0.750 0.750 Cd
0.250 0.250 0.250 Lu
0.500 0.500 0.500 Nb
```

Output
The value obtained for the formation energy is 0.784 eV/atom. The raw total energy is -3.32 eV per atom. As for the calculated volume: 32.5 A^3/atom.

***

Compound: TmGeHO4
Source: the Open Quantum Materials Database
Functional: PBE
Structure: relaxed

```
TmGeHO4
1.0
-7.568 1.183 -7.844
3.390 -3.110 -3.740
-2.194 -4.179 1.486
Ge H O Tm
4 4 16 4
Direct
0.568 0.250 0.016 Ge
0.068 0.250 0.484 Ge
0.932 0.750 0.516 Ge
0.432 0.750 0.984 Ge
0.000 0.000 0.000 H
0.000 0.500 0.000 H
0.500 0.000 0.500 H
0.500 0.500 0.500 H
0.945 0.750 0.148 O
0.667 0.037 0.149 O
0.667 0.463 0.149 O
0.437 0.250 0.214 O
0.937 0.250 0.286 O
0.167 0.037 0.351 O
0.167 0.463 0.351 O
0.445 0.750 0.352 O
0.555 0.250 0.648 O
0.833 0.537 0.649 O
0.833 0.963 0.649 O
0.063 0.750 0.714 O
0.563 0.750 0.786 O
0.333 0.537 0.851 O
0.333 0.963 0.851 O
0.055 0.250 0.852 O
0.256 0.250 0.038 Tm
0.756 0.250 0.462 Tm
0.244 0.750 0.538 Tm
0.744 0.750 0.962 Tm
```

Output
The energy above the lowest structure with this stoichiometry comes out at 499.8 meV/atom. The raw total energy is -6.37 eV per atom. As for the calculated volume: 11.5 A^3/atom.

***

Compound: YInCuOs
Source: the Open Quantum Materials Database
Functional: PBE
Structure: relaxed

```
YInCuOs
1.0
0.134 -3.528 -3.150
0.096 -4.492 1.482
-3.785 -2.773 -0.609
Cu In Os Y
1 1 1 1
Direct
0.750 0.750 0.750 Cu
0.000 0.000 0.000 In
0.250 0.250 0.250 Os
0.500 0.500 0.500 Y
```

Output
The energy above the lowest structure with this stoichiometry comes out at 0.0 meV/atom. The raw total energy is -6.01 eV per atom. As for the calculated volume: 18.7 A^3/atom.

***

Compound: CdGeTeO
Source: the Open Quantum Materials Database
Functional: PBE
Structure: relaxed

```
CdGeTeO
1.0
-0.505 -3.458 -4.855
-2.453 -6.336 4.768
-7.470 2.263 -0.835
Cd Ge O Te
4 4 4 4
Direct
0.236 0.667 0.185 Cd
0.764 0.167 0.315 Cd
0.264 0.333 0.685 Cd
0.736 0.833 0.815 Cd
0.313 0.143 0.080 Ge
0.687 0.643 0.420 Ge
0.187 0.857 0.580 Ge
0.813 0.357 0.920 Ge
0.608 0.256 0.070 O
0.392 0.756 0.430 O
0.892 0.744 0.570 O
0.108 0.244 0.930 O
0.849 0.859 0.160 Te
0.151 0.359 0.340 Te
0.651 0.141 0.660 Te
0.349 0.641 0.840 Te
```

Output
The energy above the lowest structure with this stoichiometry comes out at 0.0 meV/atom. The raw total energy is -4.02 eV per atom. As for the calculated volume: 24.4 A^3/atom.